No. 1
{
  "formula": "Ag3AuF6",
  "functional": "PBE",
  "state": "relaxed",
  "lattice_angstrom": [[6.140, 0.000, 0.542], [0.000, 6.119, 0.000], [0.878, 0.000, 8.689]],
  "species": ["F", "F", "Ag", "F", "Ag", "F", "Ag", "F", "F", "F", "F", "Ag", "Au", "F", "Ag", "Ag", "F", "Au", "F", "F"],
  "frac_coords": [[0.158, 0.296, 0.400], [0.631, 0.437, 0.275], [0.961, 0.421, 0.735], [0.868, 0.717, 0.944], [0.000, 0.000, 0.500], [0.369, 0.563, 0.725], [0.039, 0.579, 0.265], [0.842, 0.704, 0.600], [0.632, 0.217, 0.556], [0.131, 0.063, 0.775], [0.132, 0.283, 0.056], [0.539, 0.921, 0.765], [0.500, 0.500, 0.500], [0.342, 0.796, 0.100], [0.500, 0.500, 0.000], [0.461, 0.079, 0.235], [0.869, 0.937, 0.225], [0.000, 0.000, 0.000], [0.658, 0.204, 0.900], [0.368, 0.783, 0.444]],
  "sg": "P2_1/c",
  "total_magnetization_mub_per_fu": 0.0,
  "e_form_raw_ev_per_atom": -1.021
}



No. 2
{
  "formula": "HfBeGe",
  "functional": "PBE",
  "state": "relaxed",
  "lattice_angstrom": [[3.701, 0.000, 0.000], [0.000, 3.701, 0.000], [0.000, 0.000, 13.037]],
  "species": ["Hf", "Ge", "Be", "Ge", "Hf", "Ge", "Be", "Be", "Be", "Ge", "Hf", "Hf"],
  "frac_coords": [[0.000, 0.000, 0.203], [0.500, 0.500, 0.120], [0.000, 0.000, 0.786], [0.000, 0.500, 0.870], [0.500, 0.500, 0.703], [0.500, 0.000, 0.370], [0.000, 0.500, 0.036], [0.500, 0.000, 0.536], [0.500, 0.500, 0.286], [0.000, 0.000, 0.620], [0.500, 0.000, 0.953], [0.000, 0.500, 0.453]],
  "sg": "I4_1md",
  "formation_energy_ev_per_atom": -0.53,
  "total_magnetization_mub_per_fu": 0.0
}



No. 3
{
  "formula": "Mg2SbS",
  "functional": "PBE",
  "state": "relaxed",
  "lattice_angstrom": [[-2.389, 1.398, -2.527], [-3.661, 0.179, 0.781], [-1.118, 6.998, 2.149]],
  "species": ["Sb", "S", "Mg", "Mg"],
  "frac_coords": [[0.500, 0.500, 0.500], [0.000, 0.000, 0.000], [0.263, 0.263, 0.210], [0.737, 0.737, 0.790]],
  "sg": "R-3m",
  "total_magnetization_mub_per_fu": 0.0,
  "e_form_raw_ev_per_atom": -0.796
}